Record 1
VASP calculation (PBE-GGA) on an optimized crystal structure of Ba2LaS2.

Cell: 8.3261 8.3261 4.4686 Å, 90.00 90.00 90.00°
Fractional coordinates of all 10 atoms:
Ba 0.1514 0.3486 0.0000
Ba 0.3486 0.8486 0.0000
Ba 0.6514 0.1514 0.0000
Ba 0.8486 0.6514 0.0000
La 0.0000 0.0000 0.5000
La 0.5000 0.5000 0.5000
S 0.1647 0.6647 0.5000
S 0.3353 0.1647 0.5000
S 0.6647 0.8353 0.5000
S 0.8353 0.3353 0.5000

Computed properties:
Total moment in μB per formula unit: 0.79
Space-group type: P4/mbm, No. 127
Density in g/cm3: 5.12
Raw formation energy in meV per atom: -1416

Record 2
VASP calculation (PBE-GGA) on an optimized crystal structure of Ta2Be2Zn.

Cell: 6.0878 6.0878 3.5517 Å, 90.00 90.00 90.00°
Fractional coordinates of all 10 atoms:
Ta 0.1755 0.3245 0.0000
Ta 0.3245 0.8245 0.0000
Ta 0.6755 0.1755 0.0000
Ta 0.8245 0.6755 0.0000
Be 0.1192 0.6192 0.5000
Be 0.3808 0.1192 0.5000
Be 0.6192 0.8808 0.5000
Be 0.8808 0.3808 0.5000
Zn 0.0000 0.0000 0.5000
Zn 0.5000 0.5000 0.5000

Computed properties:
Total moment in μB per formula unit: 0.00
Space-group type: P4/mbm, No. 127
Density in g/cm3: 11.24
ΔH_f (0 K) in kJ/mol of atoms: -11.0

Record 3
VASP calculation (PBE-GGA) on an optimized crystal structure of Ag2SnPbCl.

Cell: 5.3725 5.3725 5.7784 Å, 90.00 90.00 90.00°
Fractional coordinates of all 5 atoms:
Ag 0.0000 0.5000 0.0000
Ag 0.5000 0.0000 0.0000
Sn 0.0000 0.0000 0.5000
Pb 0.0000 0.0000 0.0000
Cl 0.5000 0.5000 0.5000

Computed properties:
Total moment in μB per formula unit: 0.00
Space-group type: P4/mmm, No. 123
Density in g/cm3: 5.75
Raw formation energy in meV per atom: 367

Record 4
VASP calculation (PBE-GGA) on an optimized crystal structure of Pr4Cd5Ge6.

Cell: 10.2964 10.2964 16.1834 Å, 90.00 90.00 154.82°
Fractional coordinates of all 30 atoms:
Pr 0.0155 0.9845 0.5000
Pr 0.0346 0.9654 0.7636
Pr 0.1637 0.8363 0.3000
Pr 0.1754 0.8246 0.9424
Pr 0.8246 0.1754 0.4424
Pr 0.8363 0.1637 0.8000
Pr 0.9654 0.0346 0.2636
Pr 0.9845 0.0155 0.0000
Cd 0.1539 0.8461 0.6233
Cd 0.3006 0.6994 0.6187
Cd 0.3417 0.6583 0.2727
Cd 0.3509 0.6491 0.9757
Cd 0.4379 0.5621 0.6799
Cd 0.5621 0.4379 0.1799
Cd 0.6491 0.3509 0.4757
Cd 0.6583 0.3417 0.7727
Cd 0.6994 0.3006 0.1187
Cd 0.8461 0.1539 0.1233
Ge 0.1117 0.8883 0.1114
Ge 0.2258 0.7742 0.4753
Ge 0.2340 0.7660 0.7674
Ge 0.4320 0.5680 0.1271
Ge 0.4329 0.5671 0.4071
Ge 0.4467 0.5533 0.8529
Ge 0.5533 0.4467 0.3529
Ge 0.5671 0.4329 0.9071
Ge 0.5680 0.4320 0.6271
Ge 0.7660 0.2340 0.2674
Ge 0.7742 0.2258 0.9753
Ge 0.8883 0.1117 0.6114

Computed properties:
Total moment in μB per formula unit: 0.00
Space-group type: Cmc2_1, No. 36
Density in g/cm3: 7.10
ΔH_f (0 K) in kJ/mol of atoms: -49.1

Record 5
VASP calculation (PBE-GGA) on an optimized crystal structure of NpPbCl6.

Cell: 7.4945 7.4945 7.4945 Å, 54.56 54.56 54.56°
Fractional coordinates of all 8 atoms:
Np 0.0000 0.0000 0.0000
Pb 0.5000 0.5000 0.5000
Cl 0.0727 0.3940 0.7707
Cl 0.2293 0.9273 0.6060
Cl 0.3940 0.7707 0.0727
Cl 0.6060 0.2293 0.9273
Cl 0.7707 0.0727 0.3940
Cl 0.9273 0.6060 0.2293

Computed properties:
Total moment in μB per formula unit: 3.00
Space-group type: R-3, No. 148
Density in g/cm3: 4.20
Raw formation energy in meV per atom: -1451

Record 6
VASP calculation (PBE-GGA) on an optimized crystal structure of ReSiBr.

Cell: 6.9427 6.9427 6.9427 Å, 155.42 148.39 40.45°
Fractional coordinates of all 3 atoms:
Re 0.0000 0.0000 0.0000
Si 0.4662 0.4662 0.0000
Br 0.1841 0.1841 0.0000

Computed properties:
Total moment in μB per formula unit: 0.00
Space-group type: Imm2, No. 44
Energy relative to the lowest polymorph listed for this composition in meV/atom: 0.0
Density in g/cm3: 6.71
Raw formation energy in meV per atom: 381